[1]
VASP calculation (PBE) on a relaxed TeRuSeN2 crystal.

The space group is P4/mmm (No. 123) and the conventional cell measures 3.853, 3.853 and 5.917 Å, with angles of 90.00, 90.00 and 90.00 degrees. The inequivalent atoms are Te at (0.000, 0.000, 0.000), Ru at (0.000, 0.000, 0.500), Se at (0.500, 0.500, 0.000) and N at (0.000, 0.500, 0.500).

The raw total energy comes out at -5.73 eV per atom. The value obtained for the excess energy over the best structure of this formula in the dataset is 0.0 kJ/mol of atoms. Its formation energy from raw total energies is 0.78 eV/atom. The spin magnetization is 0.10 μB per formula unit.

---

[2]
VASP calculation (PBE) on a relaxed Te2RuSeN crystal.

The space group is P4/mmm (No. 123) and the conventional cell measures 5.422, 5.422 and 3.556 Å, with angles of 90.00, 90.00 and 90.00 degrees. The inequivalent atoms are Te at (0.000, 0.500, 0.000), Ru at (0.000, 0.000, 0.500), Se at (0.500, 0.500, 0.000) and N at (0.500, 0.500, 0.500).

The raw total energy comes out at -4.12 eV per atom. The value obtained for the excess energy over the best structure of this formula in the dataset is 94.6 kJ/mol of atoms. Its formation energy from raw total energies is 1.36 eV/atom. The spin magnetization is 0.00 μB per formula unit.

---

[3]
VASP calculation (PBE) on a relaxed TeRuSe2N crystal.

The space group is P4/mmm (No. 123) and the conventional cell measures 5.381, 5.381 and 3.870 Å, with angles of 90.00, 90.00 and 90.00 degrees. The inequivalent atoms are Te at (0.000, 0.000, 0.000), Ru at (0.500, 0.500, 0.500), Se at (0.000, 0.500, 0.000) and N at (0.000, 0.000, 0.500).

The raw total energy comes out at -4.04 eV per atom. The value obtained for the excess energy over the best structure of this formula in the dataset is 110.6 kJ/mol of atoms. Its formation energy from raw total energies is 1.51 eV/atom. The spin magnetization is 3.16 μB per formula unit.

---

[4]
VASP calculation (PBE) on a relaxed Te2RuSeN crystal.

The space group is P4/mmm (No. 123) and the conventional cell measures 5.431, 5.431 and 3.664 Å, with angles of 90.00, 90.00 and 90.00 degrees. The inequivalent atoms are Te at (0.000, 0.500, 0.000), Ru at (0.000, 0.000, 0.000), Se at (0.500, 0.500, 0.500) and N at (0.000, 0.000, 0.500).

The raw total energy comes out at -5.10 eV per atom. The value obtained for the excess energy over the best structure of this formula in the dataset is 0.0 kJ/mol of atoms. Its formation energy from raw total energies is 0.38 eV/atom. The spin magnetization is 0.00 μB per formula unit.

---

[5]
VASP calculation (PBE) on a relaxed TeRuSe2N crystal.

The space group is P4/mmm (No. 123) and the conventional cell measures 5.461, 5.461 and 4.976 Å, with angles of 90.00, 90.00 and 90.00 degrees. The inequivalent atoms are Te at (0.000, 0.000, 0.000), Ru at (0.000, 0.000, 0.500), Se at (0.000, 0.500, 0.000) and N at (0.500, 0.500, 0.500).

The raw total energy comes out at -3.53 eV per atom. The value obtained for the excess energy over the best structure of this formula in the dataset is 159.4 kJ/mol of atoms. Its formation energy from raw total energies is 2.01 eV/atom. The spin magnetization is 2.95 μB per formula unit.

---

[6]
VASP calculation (PBE) on a relaxed TeRuSeN2 crystal.

The space group is P4/mmm (No. 123) and the conventional cell measures 3.875, 3.875 and 6.262 Å, with angles of 90.00, 90.00 and 90.00 degrees. The inequivalent atoms are Te at (0.000, 0.000, 0.000), Ru at (0.500, 0.500, 0.500), Se at (0.000, 0.000, 0.500) and N at (0.000, 0.500, 0.000).

The raw total energy comes out at -4.74 eV per atom. The value obtained for the excess energy over the best structure of this formula in the dataset is 95.4 kJ/mol of atoms. Its formation energy from raw total energies is 1.77 eV/atom. The spin magnetization is 2.92 μB per formula unit.

---

[7]
VASP calculation (PBE) on a relaxed TeRuSeN2 crystal.

The space group is P4/mmm (No. 123) and the conventional cell measures 3.738, 3.738 and 7.202 Å, with angles of 90.00, 90.00 and 90.00 degrees. The inequivalent atoms are Te at (0.000, 0.000, 0.000), Ru at (0.500, 0.500, 0.000), Se at (0.000, 0.000, 0.500) and N at (0.000, 0.500, 0.500).

The raw total energy comes out at -4.69 eV per atom. The value obtained for the excess energy over the best structure of this formula in the dataset is 100.4 kJ/mol of atoms. Its formation energy from raw total energies is 1.82 eV/atom. The spin magnetization is 1.12 μB per formula unit.

---

[8]
VASP calculation (PBE) on a relaxed TeRuSeN2 crystal.

The space group is P4/mmm (No. 123) and the conventional cell measures 3.903, 3.903 and 5.501 Å, with angles of 90.00, 90.00 and 90.00 degrees. The inequivalent atoms are Te at (0.000, 0.000, 0.000), Ru at (0.500, 0.500, 0.500), Se at (0.500, 0.500, 0.000) and N at (0.000, 0.500, 0.500).

The raw total energy comes out at -5.63 eV per atom. The value obtained for the excess energy over the best structure of this formula in the dataset is 10.0 kJ/mol of atoms. Its formation energy from raw total energies is 0.88 eV/atom. The spin magnetization is 0.94 μB per formula unit.

---

[9]
VASP calculation (PBE) on a relaxed TiRuSe2N crystal.

The space group is P4/mmm (No. 123) and the conventional cell measures 5.025, 5.025 and 3.638 Å, with angles of 90.00, 90.00 and 90.00 degrees. The inequivalent atoms are Ti at (0.000, 0.000, 0.000), Ru at (0.500, 0.500, 0.500), Se at (0.000, 0.500, 0.500) and N at (0.500, 0.500, 0.000).

The raw total energy comes out at -6.23 eV per atom. The value obtained for the excess energy over the best structure of this formula in the dataset is 0.0 kJ/mol of atoms. Its formation energy from raw total energies is 0.26 eV/atom. The spin magnetization is 0.00 μB per formula unit.

---

[10]
VASP calculation (PBE) on a relaxed TiRuSeN2 crystal.

The space group is P4/mmm (No. 123) and the conventional cell measures 3.842, 3.842 and 5.275 Å, with angles of 90.00, 90.00 and 90.00 degrees. The inequivalent atoms are Ti at (0.000, 0.000, 0.000), Ru at (0.500, 0.500, 0.500), Se at (0.000, 0.000, 0.500) and N at (0.000, 0.500, 0.000).

The raw total energy comes out at -6.74 eV per atom. The value obtained for the excess energy over the best structure of this formula in the dataset is 11.8 kJ/mol of atoms. Its formation energy from raw total energies is 0.72 eV/atom. The spin magnetization is 2.29 μB per formula unit.

---

[11]
VASP calculation (PBE) on a relaxed TiRuSe2N crystal.

The space group is P4/mmm (No. 123) and the conventional cell measures 5.026, 5.026 and 3.667 Å, with angles of 90.00, 90.00 and 90.00 degrees. The inequivalent atoms are Ti at (0.000, 0.000, 0.000), Ru at (0.500, 0.500, 0.500), Se at (0.000, 0.500, 0.000) and N at (0.000, 0.000, 0.500).

The raw total energy comes out at -6.03 eV per atom. The value obtained for the excess energy over the best structure of this formula in the dataset is 18.8 kJ/mol of atoms. Its formation energy from raw total energies is 0.46 eV/atom. The spin magnetization is 2.26 μB per formula unit.

---

[12]
VASP calculation (PBE) on a relaxed TiRuSeN2 crystal.

The space group is P4/mmm (No. 123) and the conventional cell measures 3.801, 3.801 and 5.198 Å, with angles of 90.00, 90.00 and 90.00 degrees. The inequivalent atoms are Ti at (0.000, 0.000, 0.000), Ru at (0.500, 0.500, 0.500), Se at (0.500, 0.500, 0.000) and N at (0.000, 0.500, 0.500).

The raw total energy comes out at -6.86 eV per atom. The value obtained for the excess energy over the best structure of this formula in the dataset is 0.0 kJ/mol of atoms. Its formation energy from raw total energies is 0.60 eV/atom. The spin magnetization is 0.00 μB per formula unit.